This record from the Alexandria database describes CsBW3 at its PBEsol-relaxed geometry. The functional is meta-GGA SCAN.

abc: 4.3818 4.3818 4.3818
angles: 90.00 90.00 90.00
Closest atoms and distances in Å follow each position.
Sites, in units of the cell vectors:
Cs 0.5000 0.5000 0.5000  12 W 3.10
B 0.0000 0.0000 0.0000  6 W 2.19
W 0.0000 0.5000 0.0000  2 B 2.19
W 0.0000 0.0000 0.5000  2 B 2.19
W 0.5000 0.0000 0.0000  2 B 2.19

Values from the calculation:
Crystal system: cubic
E_form: 2.086 eV per atom
Size of the total moment: 0.0 μB per formula unit



This record from the Alexandria database describes Dy2CuB8O16 at its PBEsol-relaxed geometry. The functional is meta-GGA SCAN.

abc: 6.1117 8.4228 10.2065
angles: 90.00 90.33 90.00
Closest atoms and distances in Å follow each position.
Sites, in units of the cell vectors:
Dy 0.4953 0.0064 0.1822  8 O 2.27-2.43
Dy 0.0047 0.5064 0.8178  8 O 2.27-2.43
Dy 0.9953 0.4936 0.1822  8 O 2.27-2.43
Dy 0.5047 0.9936 0.8178  8 O 2.27-2.43
Cu 0.0000 0.5000 0.5000  4 O 1.95-1.98
Cu 0.5000 0.0000 0.5000  4 O 1.95-1.98
B 0.8825 0.8084 0.6184  3 O 1.35-1.39
B 0.1175 0.1916 0.3816  3 O 1.35-1.39
B 0.6175 0.3084 0.3816  3 O 1.35-1.39
B 0.8837 0.1833 0.0000  3 O 1.35-1.40
B 0.3775 0.6943 0.3734  3 O 1.35-1.40
B 0.6225 0.3057 0.6266  3 O 1.35-1.40
B 0.4942 0.4964 0.1935  4 O 1.46-1.48
B 0.1163 0.8167 0.0000  3 O 1.35-1.40
B 0.3837 0.3167 0.0000  3 O 1.35-1.40
B 0.5058 0.5036 0.8065  4 O 1.46-1.48
B 0.8775 0.8057 0.3734  3 O 1.35-1.40
B 0.0058 0.9964 0.8065  4 O 1.46-1.48
B 0.9942 0.0036 0.1935  4 O 1.46-1.48
B 0.6163 0.6833 0.0000  3 O 1.35-1.40
B 0.3825 0.6916 0.6184  3 O 1.35-1.39
B 0.1225 0.1943 0.6266  3 O 1.35-1.40
O 0.0631 0.6617 0.0070  1 B 1.35
O 0.6503 0.4078 0.2745  2 B 1.39-1.46
O 0.3507 0.6248 0.4955  2 B 1.39
O 0.3449 0.3886 0.1216  2 B 1.40-1.48
O 0.3497 0.5922 0.7255  2 B 1.39-1.46
O 0.0616 0.3448 0.3634  1 B 1.35
O 0.6493 0.3752 0.5045  2 B 1.39
O 0.1493 0.1248 0.5045  2 B 1.39
O 0.8497 0.9078 0.7255  2 B 1.39-1.46
O 0.9343 0.6526 0.3578  1 B 1.35
O 0.3554 0.4128 0.8901  2 B 1.39-1.47
O 0.9369 0.3383 0.9930  1 B 1.35
O 0.8554 0.0872 0.8901  2 B 1.39-1.47
O 0.1446 0.9128 0.1099  2 B 1.39-1.47
O 0.8449 0.1114 0.1216  2 B 1.40-1.48
O 0.6551 0.6114 0.8784  2 B 1.40-1.48
O 0.1593 0.0968 0.7352  2 B 1.40-1.46
O 0.0657 0.3474 0.6422  1 B 1.35
O 0.4369 0.1617 0.9930  1 B 1.35
O 0.5616 0.1552 0.3634  1 B 1.35
O 0.4343 0.8474 0.3578  1 B 1.35
O 0.8507 0.8752 0.4955  2 B 1.39
O 0.5631 0.8383 0.0070  1 B 1.35
O 0.3407 0.5968 0.2648  2 B 1.40-1.46
O 0.6446 0.5872 0.1099  2 B 1.39-1.47
O 0.9384 0.6552 0.6366  1 B 1.35
O 0.1551 0.8886 0.8784  2 B 1.40-1.48
O 0.5657 0.1526 0.6422  1 B 1.35
O 0.8407 0.9032 0.2648  2 B 1.40-1.46
O 0.1503 0.0922 0.2745  2 B 1.39-1.46
O 0.4384 0.8448 0.6366  1 B 1.35
O 0.6593 0.4032 0.7352  2 B 1.40-1.46

Values from the calculation:
Crystal system: monoclinic
DFT total energy: -345.05 eV per formula unit
Size of the total moment: 1.0 μB per formula unit



This record from the Alexandria database describes Er2CuB4O10 at its PBEsol-relaxed geometry. The functional is meta-GGA SCAN.

abc: 4.5344 7.1801 9.2596
angles: 90.00 90.44 90.00
Closest atoms and distances in Å follow each position.
Sites, in units of the cell vectors:
Er 0.9977 0.3958 0.8345  6 O 2.18-2.40
Er 0.0023 0.8958 0.6655  6 O 2.18-2.40
Er 0.9977 0.1042 0.3345  6 O 2.18-2.40
Er 0.0023 0.6042 0.1655  6 O 2.18-2.40
Cu 0.0000 0.0000 0.0000  4 O 1.94-2.04
Cu 0.0000 0.5000 0.5000  4 O 1.94-2.04
B 0.4634 0.2693 0.0802  4 O 1.42-1.54
B 0.5366 0.7693 0.4198  4 O 1.42-1.54
B 0.5366 0.7307 0.9198  4 O 1.42-1.54
B 0.4634 0.2307 0.5802  4 O 1.42-1.54
B 0.4694 0.5978 0.6623  4 O 1.44-1.52
B 0.5306 0.0978 0.8377  4 O 1.44-1.52
B 0.4694 0.9022 0.1623  4 O 1.44-1.52
B 0.5306 0.4022 0.3377  4 O 1.44-1.52
O 0.6463 0.2222 0.9526  2 B 1.48-1.49
O 0.3537 0.7222 0.5474  2 B 1.48-1.49
O 0.3367 0.8357 0.3007  2 B 1.50
O 0.6633 0.3357 0.1993  2 B 1.50
O 0.6633 0.1643 0.6993  2 B 1.50
O 0.3367 0.6643 0.8007  2 B 1.50
O 0.3219 0.0895 0.1379  2 B 1.52-1.54
O 0.6781 0.5895 0.3621  2 B 1.52-1.54
O 0.6781 0.9105 0.8621  2 B 1.52-1.54
O 0.3219 0.4105 0.6379  2 B 1.52-1.54
O 0.7864 0.9097 0.1663  1 B 1.44
O 0.2136 0.4097 0.3337  1 B 1.44
O 0.2136 0.0903 0.8337  1 B 1.44
O 0.7864 0.5903 0.6663  1 B 1.44
O 0.2308 0.1081 0.5410  1 B 1.42
O 0.7692 0.6081 0.9590  1 B 1.42
O 0.7692 0.8919 0.4590  1 B 1.42
O 0.2308 0.3919 0.0410  1 B 1.42
O 0.3537 0.7778 0.0474  2 B 1.48-1.49
O 0.6463 0.2778 0.4526  2 B 1.48-1.49

Values from the calculation:
Crystal system: monoclinic
DFT total energy: -257.38 eV per formula unit
Size of the total moment: 1.0 μB per formula unit



This record from the Alexandria database describes Cu2BPtF at its PBEsol-relaxed geometry. The functional is meta-GGA SCAN.

abc: 3.8288 3.8288 4.0079
angles: 90.00 90.00 90.00
Closest atoms and distances in Å follow each position.
Sites, in units of the cell vectors:
B 0.0000 0.0000 0.5000  2 F 2.00
Cu 0.0000 0.5000 0.0000  2 F 1.91
Cu 0.5000 0.0000 0.0000  2 F 1.91
Pt 0.5000 0.5000 0.5000  4 B 2.71, 8 Cu 2.77
F 0.0000 0.0000 0.0000  4 Cu 1.91, 2 B 2.00

Values from the calculation:
Crystal system: tetragonal
DFT total energy: -108.68 eV per formula unit
Size of the total moment: 0.0 μB per formula unit



This record from the Alexandria database describes Fe2CuSiB at its PBEsol-relaxed geometry. The functional is meta-GGA SCAN.

abc: 4.0906 4.3601 4.3601
angles: 90.00 90.00 90.00
Closest atoms and distances in Å follow each position.
Sites, in units of the cell vectors:
Si 0.5000 0.0000 0.0000  2 Cu 2.05
B 0.5000 0.5000 0.5000  8 Fe 2.99, 4 Si 3.08
Fe 0.0000 0.0000 0.5000  2 Cu 2.18
Fe 0.0000 0.5000 0.0000  2 Cu 2.18
Cu 0.0000 0.0000 0.0000  2 Si 2.05, 4 Fe 2.18

Values from the calculation:
Crystal system: tetragonal
DFT total energy: -61.15 eV per formula unit
Size of the total moment: 6.5 μB per formula unit



This record from the Alexandria database describes Li2GaCuB at its PBEsol-relaxed geometry. The functional is meta-GGA SCAN.

abc: 4.3739 4.5986 4.5986
angles: 90.00 90.00 90.00
Closest atoms and distances in Å follow each position.
Sites, in units of the cell vectors:
B 0.5000 0.5000 0.5000  8 Li 3.17, 4 Cu 3.25
Cu 0.5000 0.0000 0.0000  2 Ga 2.19
Ga 0.0000 0.0000 0.0000  2 Cu 2.19, 4 Li 2.30
Li 0.0000 0.0000 0.5000  2 Ga 2.30
Li 0.0000 0.5000 0.0000  2 Ga 2.30

Values from the calculation:
Crystal system: tetragonal
E_form: 1.115 eV per atom
Size of the total moment: 0.0 μB per formula unit



This record from the Alexandria database describes Mn2CuGeB at its PBEsol-relaxed geometry. The functional is meta-GGA SCAN.

abc: 3.7254 4.5732 4.5732
angles: 90.00 90.00 90.00
Closest atoms and distances in Å follow each position.
Sites, in units of the cell vectors:
Ge 0.0000 0.0000 0.0000  2 B 1.86
Mn 0.0000 0.0000 0.5000  2 Ge 2.29
Mn 0.0000 0.5000 0.0000  2 Ge 2.29
B 0.5000 0.0000 0.0000  2 Ge 1.86
Cu 0.5000 0.5000 0.5000  8 Mn 2.95, 4 B 3.23

Values from the calculation:
Crystal system: tetragonal
E_form: 0.998 eV per atom
Size of the total moment: 7.4 μB per formula unit



This record from the Alexandria database describes CuSiGe2B at its PBEsol-relaxed geometry. The functional is meta-GGA SCAN.

abc: 3.8944 4.3802 4.3802
angles: 90.00 90.00 90.00
Closest atoms and distances in Å follow each position.
Sites, in units of the cell vectors:
Ge 0.0000 0.0000 0.5000  2 B 2.19
Ge 0.0000 0.5000 0.0000  2 B 2.19
B 0.0000 0.0000 0.0000  2 Cu 1.95
Si 0.5000 0.5000 0.5000  8 Ge 2.93, 4 Cu 3.10
Cu 0.5000 0.0000 0.0000  2 B 1.95

Values from the calculation:
Crystal system: tetragonal
DFT total energy: -66.75 eV per formula unit
Size of the total moment: 0.0 μB per formula unit



This record from the Alexandria database describes CuB2HN at its PBEsol-relaxed geometry. The functional is meta-GGA SCAN.

abc: 3.6787 3.8221 3.8221
angles: 90.00 90.00 90.00
Closest atoms and distances in Å follow each position.
Sites, in units of the cell vectors:
H 0.5000 0.5000 0.5000  8 B 2.65, 4 N 2.70
B 0.0000 0.0000 0.5000  2 Cu 1.91
B 0.0000 0.5000 0.0000  2 Cu 1.91
Cu 0.0000 0.0000 0.0000  2 N 1.84, 4 B 1.91
N 0.5000 0.0000 0.0000  2 Cu 1.84

Values from the calculation:
Crystal system: tetragonal
DFT total energy: -31.73 eV per formula unit
Size of the total moment: 1.7 μB per formula unit